No. 1
Ti2Zn4Pd: relaxed, PBE-GGA.

## Properties
* uncorrected energy: -26.7 eV/cell
* calculated formation energy: -0.092 eV/atom
* spin magnetization: 0.02 μB per cell

a b c (Å): 6.509 6.509 5.319
angles (deg): 127.89 127.89 90.06
Element x y z (fractional)
Zn1 0.304 0.696 0.000
Zn2 0.696 0.305 0.000
Zn3 0.701 0.701 0.008
Zn4 0.299 0.299 0.992
Ti1 0.252 0.748 0.500
Ti2 0.748 0.252 0.500
Pd1 0.000 0.000 0.999

No. 2
In4Hg11: relaxed, PBE-GGA.

## Properties
* uncorrected energy: -28.1 eV/cell
* calculated formation energy: 0.015 eV/atom
* spin magnetization: 0.00 μB per cell

a b c (Å): 6.146 11.869 11.669
angles (deg): 89.99 89.80 107.82
Element x y z (fractional)
Hg1 0.992 0.940 0.737
Hg2 0.492 0.902 0.905
Hg3 0.008 0.599 0.405
Hg4 0.508 0.098 0.095
Hg5 0.506 0.830 0.173
Hg6 0.991 0.793 0.209
Hg7 0.007 0.330 0.328
Hg8 0.508 0.559 0.237
Hg9 0.993 0.670 0.672
Hg10 0.509 0.708 0.709
Hg11 0.000 0.000 0.000
Hg12 0.496 0.234 0.557
Hg13 0.494 0.170 0.827
Hg14 0.008 0.060 0.263
Hg15 0.996 0.733 0.943
Hg16 0.004 0.267 0.057
Hg17 0.504 0.766 0.443
Hg18 0.992 0.401 0.595
Hg19 0.009 0.207 0.791
Hg20 0.492 0.441 0.763
Hg21 0.491 0.292 0.291
Hg22 0.500 0.500 0.500
In1 0.997 0.470 0.859
In2 0.517 0.365 0.024
In3 0.003 0.530 0.141
In4 0.497 0.971 0.641
In5 0.483 0.635 0.976
In6 0.983 0.135 0.524
In7 0.017 0.865 0.476
In8 0.503 0.029 0.359

No. 3
K2LiPb: relaxed, PBE-GGA.

## Properties
* uncorrected energy: -8.0 eV/cell
* calculated formation energy: -0.058 eV/atom
* spin magnetization: 0.00 μB per cell

a b c (Å): 5.315 4.747 7.018
angles (deg): 70.29 90.00 90.00
Element x y z (fractional)
K1 0.000 0.974 0.927
K2 0.500 0.289 0.295
Pb1 0.500 0.581 0.714
Li1 0.000 0.655 0.563

No. 4
Sm3HfTl4Te8: relaxed, PBE-GGA.

## Properties
* formation energy without anion corrections: -0.922 eV/atom
* uncorrected energy: -73.5 eV/cell
* spin magnetization: 0.00 μB per cell

a b c (Å): 8.831 9.682 8.831
angles (deg): 117.13 120.00 90.00
Element x y z (fractional)
Sm1 0.500 0.500 0.000
Sm2 0.000 0.500 0.500
Sm3 0.500 0.500 0.500
Te1 0.227 0.712 0.985
Te2 0.773 0.288 0.015
Te3 0.741 0.722 0.482
Te4 0.227 0.712 0.454
Te5 0.758 0.712 0.985
Te6 0.242 0.288 0.015
Te7 0.773 0.288 0.546
Te8 0.259 0.278 0.518
Tl1 0.000 0.000 0.000
Tl2 0.500 0.000 0.500
Tl3 0.500 0.000 0.000
Tl4 0.000 0.000 0.500
Hf1 0.000 0.500 0.000

No. 5
MoPRh2: relaxed, PBE-GGA.

## Properties
* uncorrected energy: -32.0 eV/cell
* calculated formation energy: -0.276 eV/atom
* spin magnetization: 0.00 μB per cell

a b c (Å): 4.003 2.834 5.158
angles (deg): 74.76 90.00 90.00
Element x y z (fractional)
Mo1 0.500 0.500 0.000
Rh1 0.000 0.862 0.262
Rh2 0.000 0.138 0.738
P1 0.500 0.500 0.500

No. 6
V12Rh5N2: relaxed, PBE-GGA.

## Properties
* formation energy without anion corrections: -0.227 eV/atom
* uncorrected energy: -167.2 eV/cell
* spin magnetization: 1.34 μB per cell

a b c (Å): 5.608 8.763 6.138
angles (deg): 115.76 90.00 108.66
Site moments in Bohr magnetons follow the coordinates.
Element x y z (fractional)
V1 0.134 0.717 0.368  0.36
V2 0.417 0.283 0.632  0.36
V3 0.498 0.997 0.743  -0.08
V4 0.403 0.271 0.093  -0.03
V5 0.132 0.729 0.907  -0.03
V6 0.946 0.891 0.773  -0.02
V7 0.054 0.109 0.227  -0.02
V8 0.868 0.271 0.093  -0.03
V9 0.866 0.283 0.632  0.36
V10 0.502 0.003 0.257  -0.08
V11 0.597 0.729 0.907  -0.03
V12 0.583 0.717 0.368  0.36
Rh1 0.763 0.526 0.012  0.01
Rh2 0.249 0.498 0.506  0.01
Rh3 0.237 0.474 0.988  0.01
Rh4 0.000 0.000 0.500  0.04
Rh5 0.751 0.502 0.494  0.01
N1 0.266 0.000 0.000  0.00
N2 0.734 0.000 0.000  0.00

No. 7
PmEr2Th2: relaxed, PBE-GGA.

## Properties
* uncorrected energy: -28.6 eV/cell
* calculated formation energy: 0.016 eV/atom
* spin magnetization: 0.00 μB per cell

a b c (Å): 3.575 3.575 14.607
angles (deg): 82.97 82.97 60.00
Element x y z (fractional)
Th1 0.199 0.199 0.402
Th2 0.801 0.801 0.598
Pm1 0.000 0.000 0.000
Er1 0.599 0.599 0.203
Er2 0.401 0.401 0.797

No. 8
ZrTaSi3: relaxed, PBE-GGA.

## Properties
* formation energy without anion corrections: 1.418 eV/atom
* uncorrected energy: -29.6 eV/cell
* spin magnetization: 0.00 μB per cell

a b c (Å): 4.806 4.806 4.806
angles (deg): 90.00 90.00 90.00
Element x y z (fractional)
Si1 0.000 0.000 0.500
Si2 0.000 0.500 0.000
Si3 0.500 0.000 0.000
Zr1 0.000 0.000 0.000
Ta1 0.500 0.500 0.500

> What is the spin magnetization in the fourth record?

0.00 μB per cell

What did the first record say?
Ti2Zn4Pd: relaxed, PBE-GGA.

## Properties
* uncorrected energy: -26.7 eV/cell
* calculated formation energy: -0.092 eV/atom
* spin magnetization: 0.02 μB per cell

a b c (Å): 6.509 6.509 5.319
angles (deg): 127.89 127.89 90.06
Element x y z (fractional)
Zn1 0.304 0.696 0.000
Zn2 0.696 0.305 0.000
Zn3 0.701 0.701 0.008
Zn4 0.299 0.299 0.992
Ti1 0.252 0.748 0.500
Ti2 0.748 0.252 0.500
Pd1 0.000 0.000 0.999

> Among the records above, which one has the highest spin magnetization?

V12Rh5N2